No. 1
DFT (GGA-PBE) results for Ac4NdHg3 after structural relaxation.

Cell: 3.9623 5.8605 11.8929 Å, 90.00 90.00 90.00°
With the nearest neighbours (Å) after each atom.
Atoms (fractional coordinates):
Hg1 0.5000 0.0000 0.2412  8 Ac 3.49-3.66
Hg2 0.5000 0.0000 0.7588  8 Ac 3.49-3.66
Hg3 0.5000 0.5000 0.5000  8 Ac 3.43-3.54
Ac1 0.0000 0.0000 0.5000  8 Hg 3.54-3.66
Ac2 0.0000 0.5000 0.7357  6 Hg 3.43-3.55, 2 Nd 3.72
Ac3 0.0000 0.0000 0.0000  4 Hg 3.49, 4 Nd 3.54
Ac4 0.0000 0.5000 0.2643  6 Hg 3.43-3.55, 2 Nd 3.72
Nd1 0.5000 0.5000 0.0000  8 Ac 3.54-3.72

Properties
E_form: -0.304 eV/atom
space group: Pmmm, No. 47

---

No. 2
DFT (GGA-PBE) results for AlSb2Ir after structural relaxation.

Cell: 4.5413 4.7309 4.7322 Å, 62.94 90.00 90.00°
With the nearest neighbours (Å) after each atom.
Atoms (fractional coordinates):
Ir1 0.5000 0.6997 0.7000  2 Al 2.53, 4 Sb 2.71-2.79
Sb1 0.5000 0.3381 0.3382  3 Ir 2.71-2.92, 2 Al 2.89
Sb2 0.0000 0.9013 0.9014  3 Al 2.75-2.79, 2 Ir 2.79
Al1 0.0000 0.5609 0.5604  2 Ir 2.53, 3 Sb 2.75-2.79

Properties
ΔE_f (raw): -0.145 eV per atom
space group: Amm2, No. 38

---

No. 3
DFT (GGA-PBE) results for KOs after structural relaxation.

Cell: 10.0269 10.0269 6.3301 Å, 71.65 71.65 16.05°
With the nearest neighbours (Å) after each atom.
Atoms (fractional coordinates):
Os1 0.3189 0.3189 0.0452  3 Os 2.43-2.58
Os2 0.8695 0.8695 0.6862  6 Os 2.58-2.80
Os3 0.3188 0.3188 0.4284  3 Os 2.43-2.58
K1 0.6980 0.6980 0.8573  2 K 2.80
K2 0.6592 0.6592 0.3959  2 K 2.80
K3 0.9690 0.9690 0.0870  2 K 2.80

Properties
E_form: 0.970 eV/atom
distance to the lowest polymorph of the same formula: 271 meV per atom
space group: Cm, No. 8

---

No. 4
DFT (GGA-PBE) results for NiRu2Pt after structural relaxation.

Cell: 4.3084 4.3084 4.3084 Å, 60.00 60.00 60.00°
With the nearest neighbours (Å) after each atom.
Atoms (fractional coordinates):
Ru1 0.0000 0.0000 0.0000  4 Ru 2.64, 4 Pt 2.64
Ru2 0.2500 0.2500 0.2500  4 Ni 2.64, 4 Ru 2.64
Pt1 0.7500 0.7500 0.7500  4 Ru 2.64, 4 Ni 2.64
Ni1 0.5000 0.5000 0.5000  4 Pt 2.64, 4 Ru 2.64

Properties
E_form: 0.328 eV/atom
distance to the lowest polymorph of the same formula: 326 meV per atom
space group: F-43m, No. 216

---

No. 5
DFT (GGA-PBE) results for ZrNpPaPt after structural relaxation.

Cell: 4.9033 4.9033 4.9033 Å, 60.00 60.00 60.00°
With the nearest neighbours (Å) after each atom.
Atoms (fractional coordinates):
Zr1 0.0000 0.0000 0.0000  4 Np 3.00, 4 Pt 3.00
Pa1 0.5000 0.5000 0.5000  4 Pt 3.00, 4 Np 3.00
Pt1 0.7500 0.7500 0.7500  4 Pa 3.00, 4 Zr 3.00
Np1 0.2500 0.2500 0.2500  4 Zr 3.00, 4 Pa 3.00

Properties
E_form: -0.239 eV/atom
space group: F-43m, No. 216

---

No. 6
DFT (GGA-PBE) results for PaNbAg after structural relaxation.

Cell: 2.9637 3.0295 15.8297 Å, 90.00 90.00 119.28°
With the nearest neighbours (Å) after each atom.
Atoms (fractional coordinates):
Pa1 0.2892 0.5785 0.1696  1 Nb 2.96, 6 Pa 2.96-3.03, 2 Ag 3.28
Pa2 0.2892 0.5785 0.8304  1 Nb 2.96, 6 Pa 2.96-3.03, 2 Ag 3.28
Nb1 0.5251 0.0502 0.0000  2 Pa 2.96, 6 Nb 2.96-3.03
Nb2 0.3023 0.6047 0.5000  6 Nb 2.96-3.03, 6 Ag 2.98
Ag1 0.6303 0.2607 0.6531  6 Ag 2.96-3.03, 3 Nb 2.98, 2 Pa 3.28
Ag2 0.6303 0.2607 0.3469  6 Ag 2.96-3.03, 3 Nb 2.98, 2 Pa 3.28

Properties
E_form: 0.261 eV/atom
distance to the lowest polymorph of the same formula: 0 meV per atom
space group: Amm2, No. 38